First-principles (GGA-PBE) data for crystalline Pr2Nd8Dy3 at its relaxed geometry, as listed in Alexandria.

The space group is C2/m (No. 12) and the conventional cell measures 20.882, 7.733 and 5.736 Å, with angles of 90.00, 90.03 and 90.00 degrees. The distinct sites, in fractional coordinates, are Pr at (0.240, 0.000, 0.499), Nd at (0.103, 0.295, 0.500), Nd at (0.130, 0.000, 0.999), Nd at (0.169, 0.500, 0.001), Dy at (0.000, 0.000, 0.500) and Dy at (0.000, 0.285, 0.000).

The density of states at the Fermi level comes out at 40.0 states/eV per cell. As for the calculated formation energy: 0.2014 eV/atom. Its volume is 35.6 A^3/atom. As for the offset from the most stable computed form: 40 meV per atom. The crystal system is monoclinic. For the spin magnetization, the calculation gives 0.0 μB/f.u.